[1]
Entry from Alexandria via LeMat-Bulk: a relaxed Ac2MgCuHg6 crystal (PBE).

Total magnetization: 0.0 μB per formula unit
Theoretical density: 10.53 g/cm3

Cell: 7.1197 7.1680 7.1827 Å, 63.01 62.44 62.88°
With the nearest neighbours (Å) after each atom.
Space group P-1 (No. 2)
One atom of each set of equivalent atoms:
Ac1 0.1941 0.1973 0.1939 (multiplicity 2)  6 Hg 3.31-3.53, 1 Cu 3.35
Mg1 0.5000 0.5000 0.5000 (multiplicity 1)  6 Hg 2.79-2.81
Cu1 0.0000 0.0000 0.0000 (multiplicity 1)  6 Hg 2.70-2.72
Hg1 0.1398 0.6784 0.3425 (multiplicity 2)  1 Cu 2.72, 1 Mg 2.81
Hg2 0.3257 0.6562 0.8597 (multiplicity 2)  1 Cu 2.71, 1 Mg 2.80
Hg3 0.3452 0.1403 0.6759 (multiplicity 2)  1 Cu 2.70, 1 Mg 2.79

---

[2]
Entry from Alexandria via LeMat-Bulk: a relaxed AcCuHg2O4 crystal (PBE).

Total magnetization: 0.0 μB per formula unit
ΔE_f (raw): -1.110 eV per atom
Theoretical density: 9.84 g/cm3

Cell: 3.7587 12.6469 10.7270 Å, 90.00 90.00 90.00°
With the nearest neighbours (Å) after each atom.
Space group Cmcm (No. 63)
One atom of each set of equivalent atoms:
Ac1 0.0000 0.0828 0.2500 (multiplicity 4)  8 O 2.59-2.88
Cu1 0.0000 0.1945 0.7500 (multiplicity 4)  2 O 1.99
Hg1 0.0000 0.3748 0.0542 (multiplicity 8)  2 O 2.14-2.23
O1 0.0000 0.0000 0.0000 (multiplicity 4)  4 Hg 2.53
O2 0.0000 0.3166 0.6330 (multiplicity 8)  1 Cu 1.99, 1 Hg 2.14
O3 0.0000 0.4345 0.2500 (multiplicity 4)  2 Hg 2.23, 2 Cu 2.49

---

[3]
Entry from Alexandria via LeMat-Bulk: a relaxed Ac3Cu2HgO9 crystal (PBE).

Total magnetization: 0.0 μB per formula unit
ΔE_f (raw): -1.821 eV per atom
Theoretical density: 9.48 g/cm3

Cell: 5.6666 5.6666 7.2613 Å, 90.00 90.00 120.00°
With the nearest neighbours (Å) after each atom.
Space group P-3m1 (No. 164)
One atom of each set of equivalent atoms:
Ac1 0.0000 0.0000 0.0000 (multiplicity 1)  12 O 2.79-2.83
Ac2 0.3333 0.6667 0.7004 (multiplicity 2)  9 O 2.72-2.83
Cu1 0.3333 0.6667 0.1580 (multiplicity 2)  6 O 1.93-2.00
Hg1 0.0000 0.0000 0.5000 (multiplicity 1)  6 O 2.18
O1 0.0000 0.5000 0.0000 (multiplicity 3)  2 Cu 2.00
O2 0.1707 0.3415 0.3072 (multiplicity 6)  1 Cu 1.93

---

[4]
Entry from Alexandria via LeMat-Bulk: a relaxed AcCu4HgO6 crystal (PBE).

Total magnetization: 0.0 μB per formula unit
ΔE_f (raw): -0.568 eV per atom
Theoretical density: 6.74 g/cm3

Cell: 5.6020 5.6020 7.0519 Å, 90.00 90.00 120.00°
With the nearest neighbours (Å) after each atom.
Space group P6/mmm (No. 191)
One atom of each set of equivalent atoms:
Ac1 0.0000 0.0000 0.0000 (multiplicity 1)  12 O 3.12
Cu1 0.3333 0.6667 0.3099 (multiplicity 4)  3 O 1.81
Hg1 0.0000 0.0000 0.5000 (multiplicity 1)  12 Cu 3.50, 2 Ac 3.53, 12 O 3.53
O1 0.0000 0.5000 0.1961 (multiplicity 6)  2 Cu 1.81

---

Number 1: total energy -1.80 eV/atom. Number 2: total energy -4.69 eV/atom. Number 3: total energy -6.18 eV/atom. Number 4: total energy -4.78 eV/atom.